(1)
Compound: AcMg3Ir
Source: Alexandria via LeMat-Bulk
Functional: GGA-PBE
Structure: relaxed

a = 5.7839 Å, b = 6.1091 Å, c = 7.4739 Å
α = 90.00°, β = 110.88°, γ = 90.00°
Element x y z (fractional)
Ac (0.0951, 0.2500, 0.3923)
Ac (0.9049, 0.7500, 0.6077)
Mg (0.0383, 0.2500, 0.8804)
Mg (0.4750, 0.5048, 0.2025)
Mg (0.4750, 0.9952, 0.2025)
Mg (0.5250, 0.0048, 0.7975)
Mg (0.5250, 0.4952, 0.7975)
Mg (0.9617, 0.7500, 0.1196)
Ir (0.3303, 0.7500, 0.4714)
Ir (0.6697, 0.2500, 0.5286)

**Formation enthalpy at 0 K**: -309 meV per atom
**Theoretical density**: 6.6 Mg/m³
**Offset from the most stable computed form**: 0 meV per atom
**Electronic total energy**: -3.86 eV per atom
**DOS at the Fermi energy**: 2.39 states/eV/f.u.

(2)
Compound: Ac8MgIr4
Source: Alexandria via LeMat-Bulk
Functional: GGA-PBE
Structure: relaxed

a = 10.6468 Å, b = 10.6468 Å, c = 14.1282 Å
α = 129.46°, β = 129.46°, γ = 23.90°
Element x y z (fractional)
Ac (0.0000, 0.0000, 0.0000)
Ac (0.0357, 0.0357, 0.7527)
Ac (0.0785, 0.0785, 0.4870)
Ac (0.3287, 0.3287, 0.6672)
Ac (0.4116, 0.4116, 0.1599)
Ac (0.6618, 0.6618, 0.3400)
Ac (0.7047, 0.7047, 0.0745)
Ac (0.7402, 0.7402, 0.8270)
Mg (0.3712, 0.3712, 0.4146)
Ir (0.0331, 0.0331, 0.2392)
Ir (0.2254, 0.2254, 0.9529)
Ir (0.5150, 0.5150, 0.8743)
Ir (0.7073, 0.7073, 0.5879)

**Formation enthalpy at 0 K**: -509 meV per atom
**Theoretical density**: 8.8 Mg/m³
**Electronic total energy**: -5.89 eV per atom
**DOS at the Fermi energy**: 9.33 states/eV/f.u.

(3)
Compound: AcMgIr
Source: Alexandria via LeMat-Bulk
Functional: GGA-PBE
Structure: relaxed

a = 4.5331 Å, b = 4.5331 Å, c = 4.3065 Å
α = 90.00°, β = 90.00°, γ = 120.00°
Element x y z (fractional)
Ac (0.0000, 0.0000, 0.0000)
Mg (0.6667, 0.3333, 0.5000)
Ir (0.3333, 0.6667, 0.5000)

**Formation enthalpy at 0 K**: -388 meV per atom
**Theoretical density**: 9.6 Mg/m³
**Offset from the most stable computed form**: 181 meV per atom
**Electronic total energy**: -5.24 eV per atom
**DOS at the Fermi energy**: 1.01 states/eV/f.u.

(4)
Compound: AcMg3Ir2
Source: Alexandria via LeMat-Bulk
Functional: GGA-PBE
Structure: relaxed

a = 8.5312 Å, b = 8.5312 Å, c = 8.4755 Å
α = 118.04°, β = 118.04°, γ = 29.02°
Element x y z (fractional)
Ac (0.1481, 0.1481, 0.0684)
Ac (0.8519, 0.8519, 0.9316)
Mg (0.0435, 0.0435, 0.3696)
Mg (0.3179, 0.3179, 0.5476)
Mg (0.3978, 0.3978, 0.3051)
Mg (0.6022, 0.6022, 0.6949)
Mg (0.6821, 0.6821, 0.4524)
Mg (0.9565, 0.9565, 0.6304)
Ir (0.2004, 0.2004, 0.6880)
Ir (0.4906, 0.4906, 0.8433)
Ir (0.5094, 0.5094, 0.1567)
Ir (0.7996, 0.7996, 0.3120)

**Formation enthalpy at 0 K**: -424 meV per atom
**Theoretical density**: 8.7 Mg/m³
**Offset from the most stable computed form**: 0 meV per atom
**Electronic total energy**: -4.86 eV per atom
**DOS at the Fermi energy**: 2.92 states/eV/f.u.

(5)
Compound: AcMg6Ir2
Source: Alexandria via LeMat-Bulk
Functional: GGA-PBE
Structure: relaxed

a = 4.3722 Å, b = 4.3722 Å, c = 10.4859 Å
α = 90.00°, β = 90.00°, γ = 90.00°
Element x y z (fractional)
Ac (0.0000, 0.0000, 0.0000)
Mg (0.0000, 0.0000, 0.5000)
Mg (0.0000, 0.5000, 0.2746)
Mg (0.0000, 0.5000, 0.7254)
Mg (0.5000, 0.0000, 0.2746)
Mg (0.5000, 0.0000, 0.7254)
Mg (0.5000, 0.5000, 0.5000)
Ir (0.5000, 0.5000, 0.1199)
Ir (0.5000, 0.5000, 0.8801)

**Formation enthalpy at 0 K**: -278 meV per atom
**Theoretical density**: 6.3 Mg/m³
**Electronic total energy**: -3.77 eV per atom
**DOS at the Fermi energy**: 4.53 states/eV/f.u.

(6)
Compound: AcMgIr
Source: Alexandria via LeMat-Bulk
Functional: GGA-PBE
Structure: relaxed

a = 7.5155 Å, b = 4.3105 Å, c = 8.9839 Å
α = 90.00°, β = 90.00°, γ = 90.00°
Element x y z (fractional)
Ac (0.0374, 0.2500, 0.1798)
Ac (0.4626, 0.7500, 0.6798)
Ac (0.5374, 0.2500, 0.3202)
Ac (0.9626, 0.7500, 0.8202)
Mg (0.1300, 0.2500, 0.5546)
Mg (0.3700, 0.7500, 0.0546)
Mg (0.6300, 0.2500, 0.9454)
Mg (0.8700, 0.7500, 0.4454)
Ir (0.2394, 0.7500, 0.3757)
Ir (0.2606, 0.2500, 0.8757)
Ir (0.7394, 0.7500, 0.1243)
Ir (0.7606, 0.2500, 0.6243)

**Formation enthalpy at 0 K**: -564 meV per atom
**Theoretical density**: 10.1 Mg/m³
**Offset from the most stable computed form**: 4 meV per atom
**Electronic total energy**: -5.42 eV per atom
**DOS at the Fermi energy**: 1.50 states/eV/f.u.

- The highest electronic total energy belongs to which entry?
  AcMg6Ir2